# AcHgS

AcHgS after structural relaxation (PBE, the Alexandria database).

Space group: I4mm
Raw formation energy (meV/atom): -1053
V (Å³/f.u.): 100.2

abc: 4.159 4.159 6.498
angles: 108.66 108.66 90.00
Positions (direct):
S1 0.262 0.262 0.524
Ac1 0.727 0.727 0.455
Hg1 0.010 0.010 0.021